Record 1
A plane-wave DFT calculation with PBE was carried out for a relaxed Er3Co7Ru2 crystal.

Structure (POSCAR):
```
Er3Co7Ru2
1.0
4.763 0.000 1.491
2.148 4.251 1.491
-0.112 -0.069 8.714
Er Co Ru
3 7 2
direct
0.139 0.139 0.582 Er
0.861 0.861 0.418 Er
0.000 0.000 0.000 Er
0.585 0.585 0.747 Co
0.585 0.083 0.747 Co
0.415 0.917 0.253 Co
0.083 0.585 0.747 Co
0.500 0.500 0.500 Co
0.917 0.415 0.253 Co
0.415 0.415 0.253 Co
0.666 0.666 0.002 Ru
0.334 0.334 0.998 Ru
```

Computed properties:
Space group ... No. 166
Crystal system ... trigonal
Formation energy from the elements ... -172 meV per atom
Total DFT energy (no corrections) ... -7.00 eV per atom
Calculated volume ... 177.4 Å³/f.u.

=====

Record 2
A plane-wave DFT calculation with PBE was carried out for a relaxed Li6Mg5Ga crystal.

Structure (POSCAR):
```
Li6Mg5Ga
1.0
-2.154 -4.163 -0.735
5.943 -3.162 0.492
-2.051 -2.819 6.663
Mg Li Ga
5 6 1
direct
0.671 0.500 0.659 Mg
0.329 0.500 0.341 Mg
0.667 0.000 0.666 Mg
0.000 0.500 0.000 Mg
0.333 0.000 0.334 Mg
0.159 0.763 0.683 Li
0.159 0.237 0.683 Li
0.841 0.237 0.317 Li
0.841 0.763 0.317 Li
0.500 0.768 0.000 Li
0.500 0.232 0.000 Li
0.000 0.000 0.000 Ga
```

Computed properties:
Space group ... No. 65
Crystal system ... orthorhombic
Formation energy from the elements ... -104 meV per atom
Total DFT energy (no corrections) ... -1.98 eV per atom
Calculated volume ... 228.5 Å³/f.u.

=====

Record 3
A plane-wave DFT calculation with PBE was carried out for a relaxed CuSiRh2 crystal.

Structure (POSCAR):
```
CuSiRh2
1.0
2.904 0.000 0.000
0.000 2.904 0.000
0.000 0.000 6.204
Rh Cu Si
2 1 1
direct
0.000 0.000 0.476 Rh
0.000 0.000 0.024 Rh
0.500 0.500 0.750 Cu
0.500 0.500 0.250 Si
```

Computed properties:
Space group ... No. 123
Crystal system ... tetragonal
Total DFT energy (no corrections) ... -6.56 eV per atom
Calculated volume ... 52.3 Å³/f.u.
Formation energy (no corrections) ... -0.51 eV/atom

=====

Record 4
A plane-wave DFT calculation with PBE was carried out for a relaxed Zr2US6 crystal.

Structure (POSCAR):
```
Zr2US6
1.0
6.566 0.000 0.000
0.000 5.680 -3.279
0.000 0.000 6.558
S U Zr
6 1 2
direct
0.282 0.660 0.000 S
0.282 0.340 0.340 S
0.282 0.000 0.660 S
0.718 0.340 0.000 S
0.718 0.000 0.340 S
0.718 0.660 0.660 S
0.500 0.000 0.000 U
0.500 0.333 0.667 Zr
0.500 0.667 0.333 Zr
```

Computed properties:
Space group ... No. 162
Crystal system ... trigonal
Total DFT energy (no corrections) ... -7.36 eV per atom
Calculated volume ... 244.6 Å³/f.u.
Formation energy (no corrections) ... -1.46 eV/atom

=====

Record 5
A plane-wave DFT calculation with PBE was carried out for a relaxed Mg2AgAs2 crystal.

Structure (POSCAR):
```
Mg2AgAs2
1.0
7.818 0.000 0.000
0.000 7.818 0.000
0.000 0.000 3.279
Ag As Mg
2 4 4
direct
0.500 0.500 0.000 Ag
0.000 0.000 0.000 Ag
0.835 0.665 0.000 As
0.165 0.335 0.000 As
0.335 0.835 0.000 As
0.665 0.165 0.000 As
0.139 0.639 0.500 Mg
0.639 0.861 0.500 Mg
0.361 0.139 0.500 Mg
0.861 0.361 0.500 Mg
```

Computed properties:
Space group ... No. 127
Crystal system ... tetragonal
Formation energy from the elements ... -198 meV per atom
Total DFT energy (no corrections) ... -3.27 eV per atom
Calculated volume ... 100.2 Å³/f.u.

=====

Record 6
A plane-wave DFT calculation with PBE was carried out for a relaxed Cs2SrHg2S4 crystal.

Structure (POSCAR):
```
Cs2SrHg2S4
1.0
4.364 0.000 0.000
0.000 8.266 0.309
-2.182 -2.980 7.771
Hg Cs Sr S
2 2 1 4
direct
0.664 0.980 0.329 Hg
0.336 0.020 0.671 Hg
0.872 0.448 0.744 Cs
0.128 0.552 0.256 Cs
0.000 0.000 0.000 Sr
0.795 0.830 0.590 S
0.481 0.236 0.962 S
0.519 0.764 0.038 S
0.205 0.170 0.410 S
```

Computed properties:
Space group ... No. 12
Crystal system ... monoclinic
Total DFT energy (no corrections) ... -3.25 eV per atom
Calculated volume ... 284.4 Å³/f.u.
Formation energy (no corrections) ... -0.97 eV/atom

=====

Record 7
A plane-wave DFT calculation with PBE was carried out for a relaxed LiTiZnPb crystal.

Structure (POSCAR):
```
LiTiZnPb
1.0
4.727 0.000 0.000
2.364 4.094 0.000
2.364 1.365 3.860
Zn Li Ti Pb
1 1 1 1
direct
0.500 0.500 0.500 Zn
0.750 0.750 0.750 Li
0.250 0.250 0.250 Ti
0.000 0.000 0.000 Pb
```

Computed properties:
Space group ... No. 216
Crystal system ... cubic
Formation energy from the elements ... 5 meV per atom
Total DFT energy (no corrections) ... -3.69 eV per atom
Calculated volume ... 74.7 Å³/f.u.

=====

Record 8
A plane-wave DFT calculation with PBE was carried out for a relaxed U2VSe5 crystal.

Structure (POSCAR):
```
U2VSe5
1.0
5.587 0.000 0.000
-2.793 6.450 0.000
0.000 0.000 12.766
Se V U
10 2 4
direct
0.670 0.340 0.917 Se
0.949 0.897 0.875 Se
0.051 0.103 0.375 Se
0.330 0.660 0.083 Se
0.670 0.340 0.583 Se
0.330 0.660 0.417 Se
0.051 0.103 0.125 Se
0.723 0.446 0.250 Se
0.949 0.897 0.625 Se
0.277 0.554 0.750 Se
0.204 0.408 0.250 V
0.796 0.592 0.750 V
0.154 0.308 0.935 U
0.846 0.692 0.435 U
0.154 0.308 0.565 U
0.846 0.692 0.065 U
```

Computed properties:
Space group ... No. 63
Crystal system ... orthorhombic
Total DFT energy (no corrections) ... -7.04 eV per atom
Calculated volume ... 230.0 Å³/f.u.
Formation energy (no corrections) ... -0.90 eV/atom

=====

Record 9
A plane-wave DFT calculation with PBE was carried out for a relaxed PmSc4Ir5 crystal.

Structure (POSCAR):
```
PmSc4Ir5
1.0
3.199 0.000 0.000
0.000 3.199 0.000
0.000 0.000 17.300
Pm Sc Ir
1 4 5
direct
0.000 0.000 0.000 Pm
0.000 0.000 0.789 Sc
0.000 0.000 0.596 Sc
0.000 0.000 0.211 Sc
0.000 0.000 0.404 Sc
0.500 0.500 0.500 Ir
0.500 0.500 0.119 Ir
0.500 0.500 0.691 Ir
0.500 0.500 0.881 Ir
0.500 0.500 0.309 Ir
```

Computed properties:
Space group ... No. 123
Crystal system ... tetragonal
Formation energy from the elements ... -912 meV per atom
Total DFT energy (no corrections) ... -8.35 eV per atom
Calculated volume ... 177.1 Å³/f.u.

=====

Record 10
A plane-wave DFT calculation with PBE was carried out for a relaxed PmDyBeRu crystal.

Structure (POSCAR):
```
PmDyBeRu
1.0
4.897 0.000 0.000
2.448 4.241 0.000
2.448 1.414 3.998
Dy Ru Pm Be
1 1 1 1
direct
0.250 0.250 0.250 Dy
0.500 0.500 0.500 Ru
0.750 0.750 0.750 Pm
0.000 0.000 0.000 Be
```

Computed properties:
Space group ... No. 216
Crystal system ... cubic
Formation energy from the elements ... -60 meV per atom
Total DFT energy (no corrections) ... -5.65 eV per atom
Calculated volume ... 83.0 Å³/f.u.

=====

Record 11
A plane-wave DFT calculation with PBE was carried out for a relaxed La2TlSi crystal.

Structure (POSCAR):
```
La2TlSi
1.0
3.722 0.011 0.000
-0.820 3.630 0.000
0.000 0.000 8.970
La Tl Si
2 1 1
direct
0.000 0.000 0.963 La
0.500 0.500 0.315 La
0.500 0.500 0.700 Tl
0.000 0.000 0.522 Si
```

Computed properties:
Space group ... No. 35
Crystal system ... orthorhombic
Total DFT energy (no corrections) ... -4.46 eV per atom
Calculated volume ... 121.3 Å³/f.u.
Formation energy (no corrections) ... -0.05 eV/atom

=====

Record 12
A plane-wave DFT calculation with PBE was carried out for a relaxed Cs3NaCa2Cl9 crystal.

Structure (POSCAR):
```
Cs3NaCa2Cl9
1.0
-5.150 3.574 -4.517
1.093 -7.619 -0.666
-6.810 -1.549 6.539
Ca Cl Cs Na
2 9 3 1
direct
0.333 0.667 0.166 Ca
0.667 0.333 0.834 Ca
0.169 0.831 0.330 Cl
0.500 0.000 0.000 Cl
0.337 0.169 0.670 Cl
0.500 0.500 0.000 Cl
0.000 0.500 0.000 Cl
0.831 0.663 0.670 Cl
0.169 0.337 0.330 Cl
0.663 0.831 0.330 Cl
0.831 0.169 0.670 Cl
0.667 0.333 0.341 Cs
0.333 0.667 0.659 Cs
0.000 0.000 0.000 Cs
0.000 0.000 0.500 Na
```

Computed properties:
Space group ... No. 164
Crystal system ... trigonal
Total DFT energy (no corrections) ... -3.61 eV per atom
Calculated volume ... 494.6 Å³/f.u.
Formation energy (no corrections) ... -1.97 eV/atom

=====

Record 13
A plane-wave DFT calculation with PBE was carried out for a relaxed K2PaPtO6 crystal.

Structure (POSCAR):
```
K2PaPtO6
1.0
-5.227 2.111 1.729
-4.886 -1.427 -2.976
-3.981 -3.609 2.426
O Pt K Pa
6 1 2 1
direct
0.556 0.557 0.811 O
0.076 0.075 0.292 O
0.075 0.557 0.292 O
0.557 0.076 0.292 O
0.557 0.075 0.811 O
0.075 0.556 0.811 O
0.316 0.316 0.052 Pt
0.566 0.566 0.302 K
0.066 0.066 0.801 K
0.816 0.816 0.552 Pa
```

Computed properties:
Space group ... No. 225
Crystal system ... cubic
Total DFT energy (no corrections) ... -6.73 eV per atom
Calculated volume ... 144.9 Å³/f.u.
Formation energy (no corrections) ... -1.98 eV/atom

=====

Record 14
A plane-wave DFT calculation with PBE was carried out for a relaxed MnCrIn crystal.

Structure (POSCAR):
```
MnCrIn
1.0
4.345 0.000 0.000
-2.172 3.763 0.000
0.000 0.000 2.880
Cr Mn In
1 1 1
direct
0.000 0.000 0.893 Cr
0.333 0.667 0.767 Mn
0.667 0.333 0.340 In
```

Computed properties:
Space group ... No. 156
Crystal system ... trigonal
Formation energy from the elements ... 358 meV per atom
Total DFT energy (no corrections) ... -6.82 eV per atom
Calculated volume ... 47.1 Å³/f.u.

=====

Record 15
A plane-wave DFT calculation with PBE was carried out for a relaxed LiCd2Bi2 crystal.

Structure (POSCAR):
```
LiCd2Bi2
1.0
0.066 2.543 -4.098
4.247 -2.045 -1.200
-5.928 -9.262 -5.195
Cd Li Bi
4 2 4
direct
0.701 0.250 0.485 Cd
0.714 0.250 0.816 Cd
0.286 0.750 0.184 Cd
0.299 0.750 0.515 Cd
0.231 0.750 0.813 Li
0.769 0.250 0.187 Li
0.252 0.250 0.012 Bi
0.802 0.750 0.344 Bi
0.198 0.250 0.656 Bi
0.748 0.750 0.988 Bi
```

Computed properties:
Space group ... No. 11
Crystal system ... monoclinic
Formation energy from the elements ... -91 meV per atom
Total DFT energy (no corrections) ... -2.39 eV per atom
Calculated volume ... 142.5 Å³/f.u.

=====

Record 16
A plane-wave DFT calculation with PBE was carried out for a relaxed PuGa12Ir6 crystal.

Structure (POSCAR):
```
PuGa12Ir6
1.0
7.247 -0.082 -0.115
-1.875 7.000 -0.115
-1.875 -2.416 6.571
Ga Ir Pu
12 6 1
direct
0.500 0.117 0.883 Ga
0.126 0.402 0.402 Ga
0.874 0.598 0.598 Ga
0.117 0.883 0.500 Ga
0.402 0.126 0.402 Ga
0.402 0.402 0.126 Ga
0.598 0.598 0.874 Ga
0.883 0.500 0.117 Ga
0.117 0.500 0.883 Ga
0.500 0.883 0.117 Ga
0.883 0.117 0.500 Ga
0.598 0.874 0.598 Ga
0.274 0.274 0.688 Ir
0.312 0.726 0.726 Ir
0.274 0.688 0.274 Ir
0.688 0.274 0.274 Ir
0.726 0.312 0.726 Ir
0.726 0.726 0.312 Ir
0.000 0.000 0.000 Pu
```

Computed properties:
Space group ... No. 166
Crystal system ... trigonal
Formation energy from the elements ... -389 meV per atom
Total DFT energy (no corrections) ... -5.85 eV per atom
Calculated volume ... 328.3 Å³/f.u.

=====

Record 17
A plane-wave DFT calculation with PBE was carried out for a relaxed Sc2MnGa5Tc2 crystal.

Structure (POSCAR):
```
Sc2MnGa5Tc2
1.0
3.417 0.000 0.000
0.000 9.960 0.000
0.000 0.000 9.960
Ga Mn Tc Sc
10 2 4 4
direct
0.500 0.057 0.810 Ga
0.500 0.557 0.690 Ga
0.500 0.443 0.310 Ga
0.500 0.810 0.943 Ga
0.500 0.690 0.443 Ga
0.500 0.943 0.190 Ga
0.500 0.000 0.500 Ga
0.500 0.310 0.557 Ga
0.500 0.500 0.000 Ga
0.500 0.190 0.057 Ga
0.000 0.000 0.000 Mn
0.000 0.500 0.500 Mn
0.000 0.869 0.369 Tc
0.000 0.131 0.631 Tc
0.000 0.369 0.131 Tc
0.000 0.631 0.869 Tc
0.000 0.679 0.179 Sc
0.000 0.179 0.321 Sc
0.000 0.321 0.821 Sc
0.000 0.821 0.679 Sc
```

Computed properties:
Space group ... No. 127
Crystal system ... tetragonal
Formation energy from the elements ... -208 meV per atom
Total DFT energy (no corrections) ... -5.98 eV per atom
Calculated volume ... 169.5 Å³/f.u.

=====

Record 18
A plane-wave DFT calculation with PBE was carried out for a relaxed SmGdGaTc crystal.

Structure (POSCAR):
```
SmGdGaTc
1.0
-0.399 -4.764 -1.546
2.966 -1.704 -3.680
3.651 -3.292 1.037
Sm Tc Gd Ga
1 1 1 1
direct
0.500 0.500 0.500 Sm
0.750 0.750 0.750 Tc
0.000 0.000 0.000 Gd
0.250 0.250 0.250 Ga
```

Computed properties:
Space group ... No. 216
Crystal system ... cubic
Formation energy from the elements ... -164 meV per atom
Total DFT energy (no corrections) ... -8.21 eV per atom
Calculated volume ... 89.7 Å³/f.u.

=====

Record 19
A plane-wave DFT calculation with PBE was carried out for a relaxed SmTmGePt crystal.

Structure (POSCAR):
```
SmTmGePt
1.0
-1.463 3.536 -1.073
-3.937 -1.636 -0.023
0.140 -0.420 5.785
Sm Ge Pt Tm
1 1 1 1
direct
0.860 0.500 0.721 Sm
0.584 0.500 0.168 Ge
0.417 0.000 0.833 Pt
0.139 0.000 0.278 Tm
```

Computed properties:
Space group ... No. 38
Crystal system ... orthorhombic
Formation energy from the elements ... -1040 meV per atom
Total DFT energy (no corrections) ... -6.00 eV per atom
Calculated volume ... 92.4 Å³/f.u.

=====

Record 20
A plane-wave DFT calculation with PBE was carried out for a relaxed ThNi4H6Au crystal.

Structure (POSCAR):
```
ThNi4H6Au
1.0
4.422 0.000 0.000
-2.211 3.829 0.000
0.000 0.000 6.503
H Ni Th Au
6 4 1 1
direct
0.500 0.500 0.660 H
0.500 0.000 0.660 H
0.000 0.500 0.340 H
0.500 0.000 0.340 H
0.500 0.500 0.340 H
0.000 0.500 0.660 H
0.333 0.667 0.812 Ni
0.667 0.333 0.188 Ni
0.667 0.333 0.812 Ni
0.333 0.667 0.188 Ni
0.000 0.000 0.500 Th
0.000 0.000 0.000 Au
```

Computed properties:
Space group ... No. 191
Crystal system ... hexagonal
Total DFT energy (no corrections) ... -4.78 eV per atom
Calculated volume ... 110.1 Å³/f.u.

=====

Record 21
A plane-wave DFT calculation with PBE was carried out for a relaxed Ac6As3Se2Cl crystal.

Structure (POSCAR):
```
Ac6As3Se2Cl
1.0
-0.167 0.864 -4.413
2.602 -8.427 -1.748
-9.683 -1.138 2.438
Ac Cl Se As
6 1 2 3
direct
0.672 0.081 0.345 Ac
0.666 0.588 0.332 Ac
0.328 0.919 0.655 Ac
0.002 0.737 0.004 Ac
0.998 0.263 0.996 Ac
0.334 0.412 0.668 Ac
0.500 0.000 0.000 Cl
0.835 0.669 0.670 Se
0.165 0.331 0.330 Se
0.165 0.834 0.330 As
0.835 0.166 0.670 As
0.500 0.500 0.000 As
```

Computed properties:
Space group ... No. 12
Crystal system ... monoclinic
Total DFT energy (no corrections) ... -5.62 eV per atom
Calculated volume ... 386.0 Å³/f.u.
Formation energy (no corrections) ... -1.67 eV/atom

=====

Record 22
A plane-wave DFT calculation with PBE was carried out for a relaxed YRhO2F crystal.

Structure (POSCAR):
```
YRhO2F
1.0
4.427 0.000 0.000
0.000 4.427 0.000
0.000 0.000 4.239
F Rh O Y
1 1 2 1
direct
0.000 0.000 0.500 F
0.500 0.500 0.500 Rh
0.000 0.500 0.000 O
0.500 0.000 0.000 O
0.000 0.000 0.000 Y
```

Computed properties:
Space group ... No. 123
Crystal system ... tetragonal
Total DFT energy (no corrections) ... -6.51 eV per atom
Calculated volume ... 83.1 Å³/f.u.
Formation energy (no corrections) ... -1.39 eV/atom